# Rb2RhPbCl6 | Alexandria | PBE | optimized geometry
data_Rb2RhPbCl6
_chemical_formula_sum 'Rb2 Rh1 Pb1 Cl6'
_cell_length_a 7.4795
_cell_length_b 7.4795
_cell_length_c 7.4795
_cell_angle_alpha 120.09
_cell_angle_beta 120.09
_cell_angle_gamma 89.84
_symmetry_space_group_name_H-M 'P 1'
_symmetry_Int_Tables_number 1
loop_
_symmetry_equiv_pos_as_xyz
'x,y,z'
loop_
_atom_site_label
_atom_site_fract_x
_atom_site_fract_y
_atom_site_fract_z
Rb1 0.2500 0.7500 0.5000
Rb2 0.7500 0.2500 0.5000
Rh1 0.0000 0.0000 0.0000
Pb1 0.5000 0.5000 0.0000
Cl1 0.2322 0.2322 0.4644
Cl2 0.2322 0.7678 0.0000
Cl3 0.2328 0.2328 0.0000
Cl4 0.7672 0.7672 0.0000
Cl5 0.7678 0.2322 0.0000
Cl6 0.7678 0.7678 0.5356
# - Raw formation energy: -1.22 eV/atom
# - Crystal system: tetragonal
# - Symmetry: I4/mmm (139)
# - Energy: -3.6245 eV per atom